[1]
An optimized crystal structure of DyCd3Au2. Source: Alexandria, functional PBE.

Its formation energy is -0.384 eV/atom. Its density of states at the Fermi level is 0.493 states/eV/atom. As for the total magnetization: 0.00 μB per formula unit.

Unit cell a=14.7028 b=4.5903 c=9.0982 alpha=90.00 beta=120.92 gamma=90.00
Space group C2/m (No. 12)
Symmetry-distinct sites (fractional):
Dy1 0.1336 0.0000 0.0198 [4 per cell]
Cd1 0.0563 0.0000 0.3856 [4 per cell]
Cd2 0.0977 0.5000 0.7335 [4 per cell]
Cd3 0.2156 0.5000 0.5550 [4 per cell]
Au1 0.0615 0.5000 0.1804 [4 per cell]
Au2 0.2253 0.0000 0.7770 [4 per cell]



[2]
An optimized crystal structure of Ce2PuH. Source: Alexandria, functional PBE.

Its density of states at the Fermi level is 1.965 states/eV/atom. As for the total magnetization: 1.96 μB per formula unit. For the polymorph energy (0 for the lowest one), the calculation gives 62.3 meV per atom.

Unit cell a=3.6943 b=3.6943 c=17.8051 alpha=90.00 beta=90.00 gamma=120.00
Space group R-3m (No. 166, hexagonal axes)
Symmetry-distinct sites (fractional):
Ce1 0.0000 0.0000 0.2472 [6 per cell]
Pu1 0.0000 0.0000 0.0000 [3 per cell]
H1 0.0000 0.0000 0.5000 [3 per cell]



[3]
An optimized crystal structure of AgOs2Pt. Source: Alexandria, functional PBE.

Its formation energy is 1.184 eV/atom. Its density of states at the Fermi level is 1.709 states/eV/atom. As for the total magnetization: 0.00 μB per formula unit.

Unit cell a=7.4577 b=7.4577 c=5.1057 alpha=90.00 beta=90.00 gamma=90.00
Space group I-42d (No. 122)
Symmetry-distinct sites (fractional):
Ag1 0.0000 0.0000 0.0000 [4 per cell]
Os1 0.2049 0.2500 0.6250 [8 per cell]
Pt1 0.0000 0.0000 0.5000 [4 per cell]